The following is a PBE-GGA calculation of an optimized crystal structure of Mn2ReRh, from Alexandria via LeMat-Bulk.

The uncorrected energy comes out at -9.530 eV per atom. As for the size of the total moment: 0.02 μB/atom. The energy of formation is 0.0046 eV/atom.

The structure belongs to space group Cm (No. 8); the cell edges are 8.862, 2.693 and 4.568 Å and the angles 90.00°, 100.72° and 90.00°. The asymmetric unit holds Mn at (0.000, 0.000, 0.000), Mn at (0.245, 0.500, 0.225), Re at (0.495, 0.000, 0.492) and Rh at (0.248, 0.000, 0.734).